a | VASP calculation (PBE) on a relaxed In2SbPb crystal.

```
In2SbPb
1.0
-3.706 -0.718 -1.270
1.440 -2.353 -2.872
-0.425 -5.725 4.477
Pb Sb In
1 1 2
Cartesian
-0.220 -2.960 2.315 Pb
-1.458 -5.909 1.349 Sb
-1.231 -2.856 -1.038 In
-0.420 -5.658 4.424 In
```

Values from the calculation:
SG   P4mm
Spin magnetization   0.0000 μB per atom
Volume   28.87 Å³ per atom

***

b | VASP calculation (PBE) on a relaxed In2SbPb crystal.

```
In2SbPb
1.0
-10.152 5.614 -0.392
-10.876 3.449 2.136
-9.280 6.382 2.810
In Pb Sb
2 1 1
Cartesian
-0.107 0.055 0.016 In
-15.047 7.668 2.261 In
-7.577 3.861 1.138 Pb
-22.731 11.584 3.415 Sb
```

Values from the calculation:
SG   R-3m
Spin magnetization   0.0000 μB per atom
Volume   28.74 Å³ per atom

***

c | VASP calculation (PBE) on a relaxed In2SbPb crystal.

```
In2SbPb
1.0
-3.697 1.887 3.073
0.013 -2.869 1.777
4.579 1.007 4.891
Pb Sb In
1 1 2
Cartesian
-0.701 0.478 3.203 Pb
1.595 -0.452 6.537 Sb
4.553 -1.712 6.529 In
2.334 -1.080 3.472 In
```

Values from the calculation:
SG   P2/m
Spin magnetization   0.0000 μB per atom
Volume   28.53 Å³ per atom

***

Least stable: b

***

a | VASP calculation (PBE) on a relaxed InSbPb2 crystal.

```
InSbPb2
1.0
-1.135 0.026 -3.446
0.329 -3.610 -0.136
-8.511 -0.882 2.798
Pb Sb In
2 1 1
Cartesian
-0.059 -0.006 0.019 Pb
-4.197 -0.435 1.380 Pb
-2.531 -2.013 -1.091 Sb
-6.786 -2.454 0.307 In
```

Values from the calculation:
SG   P4/mmm
Spin magnetization   0.0000 μB per atom
Volume   29.62 Å³ per atom

***

b | VASP calculation (PBE) on a relaxed InSbPb2 crystal.

```
InSbPb2
1.0
6.258 -0.029 0.024
2.530 5.724 -0.024
-3.975 -3.495 3.340
Pb Sb In
2 1 1
Cartesian
3.177 -0.443 1.682 Pb
0.082 0.053 0.000 Pb
4.335 2.809 0.000 Sb
1.614 2.629 1.658 In
```

Values from the calculation:
SG   Imm2
Spin magnetization   0.0000 μB per atom
Volume   29.92 Å³ per atom

***

c | VASP calculation (PBE) on a relaxed InSbPb2 crystal.

```
InSbPb2
1.0
5.967 0.084 0.000
-1.635 5.739 0.000
0.000 0.000 3.463
Pb Sb In
2 1 1
Cartesian
0.000 0.000 0.000 Pb
2.166 2.912 0.000 Pb
2.983 0.042 1.732 Sb
-0.818 2.869 1.732 In
```

Values from the calculation:
SG   Cmmm
Spin magnetization   0.0000 μB per atom
Volume   29.77 Å³ per atom

***

d | VASP calculation (PBE) on a relaxed InSbPb2 crystal.

```
InSbPb2
1.0
0.000 3.920 3.920
3.920 0.000 3.920
3.920 3.920 0.000
Pb In Sb
2 1 1
Cartesian
5.881 5.881 5.881 Pb
1.960 1.960 1.960 Pb
0.000 0.000 0.000 In
3.920 3.920 3.920 Sb
```

Values from the calculation:
SG   Fm-3m
Spin magnetization   0.0000 μB per atom
Volume   30.13 Å³ per atom

***

Least stable: d

***

a | VASP calculation (PBE) on a relaxed InSbPb2 crystal.

```
InSbPb2
1.0
11.606 0.006 0.003
11.083 3.443 0.003
11.083 1.685 3.003
Sb Pb In
1 2 1
Cartesian
16.794 2.553 1.497 Sb
8.295 1.261 0.739 Pb
0.074 0.011 0.007 Pb
25.495 3.876 2.272 In
```

Values from the calculation:
SG   R3m
Spin magnetization   0.0000 μB per atom
Volume   29.92 Å³ per atom

***

b | VASP calculation (PBE) on a relaxed InSbPb2 crystal.

```
InSbPb2
1.0
-3.293 -3.985 2.834
-4.125 -4.196 -0.379
4.022 -4.980 -0.714
Pb Sb In
2 1 1
Cartesian
-1.686 -6.609 0.869 Pb
-3.409 -13.132 1.742 Pb
-2.547 -9.871 1.305 Sb
-0.849 -3.290 0.435 In
```

Values from the calculation:
SG   C2/m
Spin magnetization   0.0000 μB per atom
Volume   30.05 Å³ per atom

***

Least stable: a